# Pa3Tl3HgSe8

A geometry-optimized Pa3Tl3HgSe8 structure (PBE-GGA, Alexandria).

a b c (Å): 9.148 9.148 9.148
angles (deg): 54.81 54.81 54.81
Sites, in units of the cell vectors:
Pa 0.000 0.500 0.500
Pa 0.500 0.000 0.500
Pa 0.500 0.500 0.000
Tl 0.000 0.000 0.500
Tl 0.000 0.500 0.000
Tl 0.500 0.000 0.000
Hg 0.000 0.000 0.000
Se 0.246 0.246 0.713
Se 0.246 0.713 0.246
Se 0.264 0.264 0.264
Se 0.287 0.754 0.754
Se 0.713 0.246 0.246
Se 0.736 0.736 0.736
Se 0.754 0.287 0.754
Se 0.754 0.754 0.287

Computed properties:
total magnetization = 3.32 Bohr magnetons per cell
space-group type = R-3m (166)
ΔE_f (raw) = -889 meV per atom
calculated total energy = -5.14 eV per atom

# Pa2SiHg

A geometry-optimized Pa2SiHg structure (PBE-GGA, Alexandria).

a b c (Å): 3.236 3.236 8.542
angles (deg): 90.00 90.00 90.00
Sites, in units of the cell vectors:
Pa 0.000 0.000 0.223
Pa 0.000 0.000 0.777
Si 0.500 0.500 0.000
Hg 0.500 0.500 0.500

Computed properties:
total magnetization = 0.00 Bohr magnetons per cell
space-group type = P4/mmm (123)
ΔE_f (raw) = -139 meV per atom
calculated total energy = -6.32 eV per atom

# Pa2SiHg

A geometry-optimized Pa2SiHg structure (PBE-GGA, Alexandria).

a b c (Å): 8.738 8.738 8.738
angles (deg): 24.64 24.64 24.64
Sites, in units of the cell vectors:
Pa 0.237 0.237 0.237
Pa 0.763 0.763 0.763
Si 0.500 0.500 0.500
Hg 0.000 0.000 0.000

Computed properties:
total magnetization = 0.00 Bohr magnetons per cell
space-group type = R-3m (166)
ΔE_f (raw) = 6 meV per atom
calculated total energy = -6.17 eV per atom

# SmPaHg2

A geometry-optimized SmPaHg2 structure (PBE-GGA, Alexandria).

a b c (Å): 4.767 4.767 4.510
angles (deg): 90.00 90.00 90.00
Sites, in units of the cell vectors:
Sm 0.000 0.000 0.000
Pa 0.500 0.500 0.000
Hg 0.000 0.500 0.500
Hg 0.500 0.000 0.500

Computed properties:
energy of formation from the pure elements = -0.240 eV per formula unit
total magnetization = 1.40 Bohr magnetons per cell
space-group type = P4/mmm (123)
calculated total energy = -3.76 eV per atom